# NaPm2CoO5

Crystalline NaPm2CoO5 at its relaxed geometry (PBE with a Hubbard U, the Alexandria database).

The size of the total moment comes out at 0.224 μB per atom. Its density is 6.0 g cm⁻³. As for the space group: P4/mbm. The calculation puts the calculated total energy at -123.89 eV/cell.

Lattice parameters (Å, degrees): 6.7019 6.7019 5.5776 90.00 90.00 90.00
Sites, in units of the cell vectors:
Na (0.0000, 0.0000, 0.0000)
Na (0.5000, 0.5000, 0.0000)
Pm (0.1774, 0.3226, 0.5000)
Pm (0.3226, 0.8226, 0.5000)
Pm (0.6774, 0.1774, 0.5000)
Pm (0.8226, 0.6774, 0.5000)
Co (0.0000, 0.5000, 0.0000)
Co (0.5000, 0.0000, 0.0000)
O (0.0000, 0.0000, 0.5000)
O (0.1327, 0.6327, 0.2378)
O (0.1327, 0.6327, 0.7622)
O (0.3673, 0.1327, 0.2378)
O (0.3673, 0.1327, 0.7622)
O (0.5000, 0.5000, 0.5000)
O (0.6327, 0.8673, 0.2378)
O (0.6327, 0.8673, 0.7622)
O (0.8673, 0.3673, 0.2378)
O (0.8673, 0.3673, 0.7622)